Density functional theory data (PBE) for crystalline KNaVH6 at its relaxed geometry.

Cell and atoms, written as extended XYZ:
```
18
Lattice="-2.926 -4.485 0.753 3.428 0.323 -4.170 7.420 -3.868 5.800" Properties=species:S:1:pos:R:3 pbc="T T T"
K 3.710 -1.934 2.900
K 0.000 0.000 0.000
H 6.376 -2.570 1.535
H -0.113 -4.594 -0.449
H 1.083 -2.761 -0.757
H 1.341 -3.759 2.244
H 6.839 -5.268 3.140
H 1.546 -5.459 0.848
H 8.240 -5.136 1.436
H 2.742 -3.626 0.540
H 8.035 -3.435 2.832
H 6.580 -4.271 0.139
H 5.180 -4.403 1.843
H -0.318 -2.894 0.947
V 1.047 -3.849 0.562
V 6.875 -4.180 1.821
Na 3.165 -2.246 -1.079
Na 4.757 -5.783 3.462
```

Values from the calculation:
N(E_F)   3.37 states/eV/f.u.
Space-group type   P6_3/mmc
Final energy   -62.4 eV/cell
Size of the total moment   2.00 μB per cell